# HfNi3Pd, optimized geometry, DFT GGA-PBE
data_HfNi3Pd
_cell_length_a 4.485
_cell_length_b 4.485
_cell_length_c 4.485
_cell_angle_alpha 90.00
_cell_angle_beta 90.00
_cell_angle_gamma 90.00
_space_group_name_H-M_alt 'P m -3 m'
_space_group_IT_number 221
_space_group_name_Hall '-P 4 2 3'
loop_
_atom_site_label
_atom_site_fract_x
_atom_site_fract_y
_atom_site_fract_z
Hf1 0.000 0.000 0.000
Ni1 0.000 0.000 0.500
Pd1 0.500 0.500 0.500
# ΔE_f = 1103 meV/atom
# mass density = 8483 kg/m3
# E above lowest polymorph = 0.172 eV per atom

# Hf2NiPd, optimized geometry, DFT GGA-PBE
data_Hf2NiPd
_cell_length_a 7.154
_cell_length_b 7.154
_cell_length_c 5.678
_cell_angle_alpha 90.00
_cell_angle_beta 90.00
_cell_angle_gamma 90.00
_space_group_name_H-M_alt 'I -4 2 d'
_space_group_IT_number 122
_space_group_name_Hall 'I -4 2bw'
loop_
_atom_site_label
_atom_site_fract_x
_atom_site_fract_y
_atom_site_fract_z
Hf1 0.233 0.250 0.125
Ni1 0.000 0.000 0.000
Pd1 0.000 0.000 0.500
# ΔE_f = -93 meV/atom
# mass density = 11933 kg/m3

# PmHfNiPd, optimized geometry, DFT GGA-PBE
data_PmHfNiPd
_cell_length_a 6.797
_cell_length_b 6.797
_cell_length_c 6.797
_cell_angle_alpha 90.00
_cell_angle_beta 90.00
_cell_angle_gamma 90.00
_space_group_name_H-M_alt 'F -4 3 m'
_space_group_IT_number 216
_space_group_name_Hall 'F -4 2 3'
loop_
_atom_site_label
_atom_site_fract_x
_atom_site_fract_y
_atom_site_fract_z
Pm1 0.000 0.000 0.000
Hf1 0.000 0.000 0.500
Ni1 0.250 0.250 0.750
Pd1 0.250 0.250 0.250
# ΔE_f = -379 meV/atom
# mass density = 10337 kg/m3

# HfNiPdPt, optimized geometry, DFT GGA-PBE
data_HfNiPdPt
_cell_length_a 6.316
_cell_length_b 6.316
_cell_length_c 6.316
_cell_angle_alpha 90.00
_cell_angle_beta 90.00
_cell_angle_gamma 90.00
_space_group_name_H-M_alt 'F -4 3 m'
_space_group_IT_number 216
_space_group_name_Hall 'F -4 2 3'
loop_
_atom_site_label
_atom_site_fract_x
_atom_site_fract_y
_atom_site_fract_z
Hf1 0.000 0.000 0.000
Ni1 0.000 0.000 0.500
Pd1 0.250 0.250 0.750
Pt1 0.250 0.250 0.250
# ΔE_f = -643 meV/atom
# mass density = 14200 kg/m3
# E above lowest polymorph = 0.193 eV per atom

# Hf2NiPdPt5, optimized geometry, DFT GGA-PBE
data_Hf2NiPdPt5
_cell_length_a 7.873
_cell_length_b 7.873
_cell_length_c 10.654
_cell_angle_alpha 90.00
_cell_angle_beta 90.00
_cell_angle_gamma 90.00
_space_group_name_H-M_alt 'I 4/m c m'
_space_group_IT_number 140
_space_group_name_Hall '-I 4 2c'
loop_
_atom_site_label
_atom_site_fract_x
_atom_site_fract_y
_atom_site_fract_z
Hf1 0.122 0.378 0.000
Ni1 0.000 0.000 0.250
Pd1 0.000 0.500 0.250
Pt1 0.000 0.000 0.000
Pt2 0.200 0.300 0.365
# ΔE_f = -69 meV/atom
# mass density = 15062 kg/m3

# HfNiPdPt, optimized geometry, DFT GGA-PBE
data_HfNiPdPt
_cell_length_a 3.908
_cell_length_b 3.935
_cell_length_c 3.974
_cell_angle_alpha 90.00
_cell_angle_beta 90.00
_cell_angle_gamma 90.00
_space_group_name_H-M_alt 'P m m m'
_space_group_IT_number 47
loop_
_space_group_symop_operation_xyz
'x,y,z'
'-x,-y,-z'
'-x,-y,z'
'x,y,-z'
'x,-y,-z'
'-x,y,z'
'-x,y,-z'
'x,-y,z'
loop_
_atom_site_label
_atom_site_fract_x
_atom_site_fract_y
_atom_site_fract_z
Hf1 0.000 0.000 0.000
Ni1 0.000 0.500 0.500
Pd1 0.500 0.000 0.500
Pt1 0.500 0.500 0.000
# ΔE_f = -837 meV/atom
# mass density = 14637 kg/m3
# E above lowest polymorph = 0.000 eV per atom

# Hf2ReNiPd, optimized geometry, DFT GGA-PBE
data_Hf2ReNiPd
_cell_length_a 4.986
_cell_length_b 4.986
_cell_length_c 4.459
_cell_angle_alpha 90.00
_cell_angle_beta 90.00
_cell_angle_gamma 90.00
_space_group_name_H-M_alt 'P 4/m m m'
_space_group_IT_number 123
_space_group_name_Hall '-P 4 2'
loop_
_atom_site_label
_atom_site_fract_x
_atom_site_fract_y
_atom_site_fract_z
Hf1 0.000 0.500 0.000
Re1 0.000 0.000 0.000
Ni1 0.000 0.000 0.500
Pd1 0.500 0.500 0.500
# ΔE_f = 752 meV/atom
# mass density = 10610 kg/m3

# HfNiPdRh, optimized geometry, DFT GGA-PBE
data_HfNiPdRh
_cell_length_a 6.258
_cell_length_b 6.258
_cell_length_c 6.258
_cell_angle_alpha 90.00
_cell_angle_beta 90.00
_cell_angle_gamma 90.00
_space_group_name_H-M_alt 'F -4 3 m'
_space_group_IT_number 216
_space_group_name_Hall 'F -4 2 3'
loop_
_atom_site_label
_atom_site_fract_x
_atom_site_fract_y
_atom_site_fract_z
Hf1 0.000 0.000 0.000
Ni1 0.000 0.000 0.500
Pd1 0.250 0.250 0.750
Rh1 0.250 0.250 0.250
# ΔE_f = -521 meV/atom
# mass density = 12103 kg/m3
# E above lowest polymorph = 0.188 eV per atom